Density functional theory data (PBE) for a geometry-optimized ThReBr structure.

Cell lengths 4.1916, 4.1941, 12.1087 Å; angles 99.56, 93.55, 59.98 degrees
Last column: nearest neighbours and their distance in Å.
Atoms (fractional coordinates):
Re (0.0809, 0.6998, 0.1887)  3 Re 2.49
Re (0.7436, 0.3924, 0.2388)  3 Re 2.49
Br (0.7730, 0.2020, 0.8721)  3 Th 3.14
Br (0.7164, 0.5636, 0.5676)  3 Th 3.20
Th (0.4262, 0.9559, 0.0399)  3 Re 3.00, 3 Br 3.14
Th (0.3978, 0.1388, 0.3926)  3 Re 3.04, 3 Br 3.20

Results
Final energy (eV/atom): -7.960
Spin magnetization (μB per formula unit): 0.000
Uncorrected formation energy (eV/atom): -0.78
Space group: No. 1

Density functional theory data (PBE) for a geometry-optimized Li6CdRh2 structure.

Cell lengths 2.6224, 7.6266, 7.6266 Å; angles 59.99, 90.00, 90.00 degrees
Last column: nearest neighbours and their distance in Å.
Atoms (fractional coordinates):
Rh (0.0000, 0.6667, 0.6667)  2 Rh 2.62, 12 Li 2.81-2.82
Rh (0.0000, 0.3333, 0.3333)  2 Rh 2.62, 12 Li 2.81-2.82
Li (0.5026, 0.6530, 0.0000)  1 Li 2.33
Li (0.4974, 0.3470, 0.0000)  1 Li 2.33
Li (0.5000, 0.6530, 0.3470)  1 Li 2.33
Li (0.5026, 0.0000, 0.6530)  1 Li 2.33
Li (0.4974, 0.0000, 0.3470)  1 Li 2.33
Li (0.5000, 0.3470, 0.6530)  1 Li 2.33
Cd (0.0000, 0.0000, 0.0000)  2 Cd 2.62

Results
Final energy (eV/atom): -3.149
Spin magnetization (μB per formula unit): 0.000
Formation enthalpy at 0 K (eV/atom): -0.14
Space group: No. 12

Density functional theory data (PBE) for a geometry-optimized La2MgTlPd structure.

Cell lengths 5.6009, 5.6009, 5.0671 Å; angles 90.00, 90.00, 90.00 degrees
Last column: nearest neighbours and their distance in Å.
Atoms (fractional coordinates):
La (0.5000, 0.0000, 0.0000)  2 Pd 2.80
La (0.0000, 0.5000, 0.0000)  2 Pd 2.80
Pd (0.0000, 0.0000, 0.0000)  2 Mg 2.53, 4 La 2.80
Mg (0.0000, 0.0000, 0.5000)  2 Pd 2.53
Tl (0.5000, 0.5000, 0.5000)  8 La 3.78, 4 Mg 3.96

Results
Final energy (eV/atom): -4.154
Spin magnetization (μB per formula unit): 0.000
Formation enthalpy at 0 K (eV/atom): -0.35
Space group: No. 123

Density functional theory data (PBE) for a geometry-optimized CaSm2Te structure.

Cell lengths 3.9925, 3.9925, 11.3100 Å; angles 79.83, 79.83, 60.00 degrees
Last column: nearest neighbours and their distance in Å.
Atoms (fractional coordinates):
Ca (0.0000, 0.0000, 0.0000)  2 Sm 3.53
Sm (0.8938, 0.8938, 0.3187)  3 Te 3.06
Sm (0.1062, 0.1062, 0.6813)  3 Te 3.06
Te (0.5000, 0.5000, 0.5000)  6 Sm 3.06

Results
Final energy (eV/atom): -4.009
Spin magnetization (μB per formula unit): 0.000
Uncorrected formation energy (eV/atom): -0.36
Space group: No. 166

Density functional theory data (PBE) for a geometry-optimized Sr5SmS6 structure.

Cell lengths 7.3206, 7.3212, 7.3192 Å; angles 59.99, 80.39, 70.51 degrees
Last column: nearest neighbours and their distance in Å.
Atoms (fractional coordinates):
S (0.7572, 0.4024, 0.6785)  1 Sm 2.89, 5 Sr 2.98-3.07
S (0.2428, 0.5976, 0.3215)  1 Sm 2.89, 5 Sr 2.98-3.07
S (0.7569, 0.7602, 0.0000)  1 Sm 2.89, 5 Sr 3.00-3.09
S (0.2431, 0.2398, 0.0000)  1 Sm 2.89, 5 Sr 3.00-3.09
S (0.7572, 0.0809, 0.3215)  1 Sm 2.89, 5 Sr 2.98-3.07
S (0.2428, 0.9191, 0.6785)  1 Sm 2.89, 5 Sr 2.98-3.07
Sr (0.5000, 0.8315, 0.3370)  6 S 2.98-3.07
Sr (0.0000, 0.6664, 0.6672)  6 S 3.00
Sr (0.0000, 0.3336, 0.3328)  6 S 3.00
Sr (0.5000, 0.5000, 0.0000)  6 S 2.98-3.09
Sr (0.5000, 0.1685, 0.6630)  6 S 2.98-3.07
Sm (0.0000, 0.0000, 0.0000)  6 S 2.89

Results
Final energy (eV/atom): -5.260
Spin magnetization (μB per formula unit): 0.000
Uncorrected formation energy (eV/atom): -2.10
Space group: No. 12

Density functional theory data (PBE) for a geometry-optimized VP2SN structure.

Cell lengths 3.9059, 3.9059, 4.1662 Å; angles 90.00, 90.00, 90.00 degrees
Last column: nearest neighbours and their distance in Å.
Atoms (fractional coordinates):
P (0.0000, 0.5000, 0.0000)  2 N 1.95
P (0.5000, 0.0000, 0.0000)  2 N 1.95
V (0.5000, 0.5000, 0.5000)  4 S 2.76, 8 P 2.86
S (0.0000, 0.0000, 0.5000)  2 N 2.08
N (0.0000, 0.0000, 0.0000)  4 P 1.95, 2 S 2.08

Results
Final energy (eV/atom): -5.670
Spin magnetization (μB per formula unit): 0.001
Uncorrected formation energy (eV/atom): 0.81
Space group: No. 123

Density functional theory data (PBE) for a geometry-optimized LiLa2Pb6 structure.

Cell lengths 4.9689, 7.4636, 8.4031 Å; angles 116.69, 90.00, 90.00 degrees
Last column: nearest neighbours and their distance in Å.
Atoms (fractional coordinates):
Li (0.0000, 0.0000, 0.0000)  8 Pb 3.08-3.25
Pb (0.0000, 0.5642, 0.7064)  1 Li 3.08, 4 Pb 3.14-3.32
Pb (0.5000, 0.7200, 0.9997)  2 Li 3.25, 5 Pb 3.29-3.32
Pb (0.0000, 0.1441, 0.7064)  1 Li 3.10, 4 Pb 3.14-3.32, 2 La 3.45
Pb (0.0000, 0.4358, 0.2936)  1 Li 3.08, 4 Pb 3.14-3.32
Pb (0.5000, 0.2800, 0.0003)  2 Li 3.25, 5 Pb 3.29-3.32
Pb (0.0000, 0.8559, 0.2936)  1 Li 3.10, 4 Pb 3.14-3.32, 2 La 3.45
La (0.5000, 0.7858, 0.5708)  10 Pb 3.45-3.85
La (0.5000, 0.2142, 0.4292)  10 Pb 3.45-3.85

Results
Final energy (eV/atom): -4.075
Spin magnetization (μB per formula unit): 0.000
Formation enthalpy at 0 K (eV/atom): -0.30
Space group: No. 10

Density functional theory data (PBE) for a geometry-optimized YReF2 structure.

Cell lengths 7.9142, 7.9142, 7.9142 Å; angles 21.25, 21.25, 21.25 degrees
Last column: nearest neighbours and their distance in Å.
Atoms (fractional coordinates):
Y (0.5000, 0.5000, 0.5000)  6 F 2.41
F (0.0924, 0.0924, 0.0924)  1 Re 2.14
F (0.9076, 0.9076, 0.9076)  1 Re 2.14
Re (0.0000, 0.0000, 0.0000)  2 F 2.14

Results
Final energy (eV/atom): -6.890
Spin magnetization (μB per formula unit): 0.000
Uncorrected formation energy (eV/atom): -1.23
Space group: No. 166

Density functional theory data (PBE) for a geometry-optimized PaGaCuRe structure.

Cell lengths 4.6451, 4.6451, 4.6451 Å; angles 60.00, 60.00, 60.00 degrees
Last column: nearest neighbours and their distance in Å.
Atoms (fractional coordinates):
Cu (0.5000, 0.5000, 0.5000)  4 Pa 2.84, 4 Ga 2.84
Re (0.0000, 0.0000, 0.0000)  4 Pa 2.84, 4 Ga 2.84
Ga (0.2500, 0.2500, 0.2500)  4 Re 2.84, 4 Cu 2.84
Pa (0.7500, 0.7500, 0.7500)  4 Re 2.84, 4 Cu 2.84

Results
Final energy (eV/atom): -7.172
Spin magnetization (μB per formula unit): 0.000
Formation enthalpy at 0 K (eV/atom): 0.10
Space group: No. 216

Density functional theory data (PBE) for a geometry-optimized La2TbThSb4 structure.

Cell lengths 4.5399, 7.8394, 7.8821 Å; angles 109.43, 90.00, 90.00 degrees
Last column: nearest neighbours and their distance in Å.
Atoms (fractional coordinates):
Sb (0.0000, 0.2499, 0.7585)  1 Tb 3.15, 2 Th 3.18, 3 La 3.24-3.26
Sb (0.5000, 0.2440, 0.2394)  2 Tb 3.16, 1 Th 3.18, 3 La 3.24-3.26
Sb (0.0000, 0.7501, 0.2415)  1 Tb 3.15, 2 Th 3.18, 3 La 3.24-3.26
Sb (0.5000, 0.7560, 0.7606)  2 Tb 3.16, 1 Th 3.18, 3 La 3.24-3.26
Th (0.5000, 0.5000, 0.0000)  6 Sb 3.18
La (0.5000, 0.0000, 0.5000)  6 Sb 3.24
La (0.0000, 0.5000, 0.5000)  6 Sb 3.26
Tb (0.0000, 0.0000, 0.0000)  6 Sb 3.15-3.16

Results
Final energy (eV/atom): -5.971
Spin magnetization (μB per formula unit): 0.000
Uncorrected formation energy (eV/atom): -1.17
Space group: No. 10

Density functional theory data (PBE) for a geometry-optimized Hf2GaAg structure.

Cell lengths 7.5710, 7.5710, 6.0785 Å; angles 51.48, 51.48, 90.00 degrees
Last column: nearest neighbours and their distance in Å.
Atoms (fractional coordinates):
Hf (0.6204, 0.1250, 0.2500)  2 Ga 2.75, 2 Ag 2.80, 2 Hf 2.88
Hf (0.8750, 0.8704, 0.7500)  2 Ga 2.75, 2 Ag 2.80, 2 Hf 2.88
Hf (0.3750, 0.3796, 0.7500)  2 Ga 2.75, 2 Ag 2.80, 2 Hf 2.88
Hf (0.1296, 0.6250, 0.2500)  2 Ga 2.75, 2 Ag 2.80, 2 Hf 2.88
Ga (0.5000, 0.5000, 0.0000)  4 Hf 2.75, 2 Ag 2.88
Ga (0.2500, 0.7500, 0.5000)  4 Hf 2.75, 2 Ag 2.88
Ag (0.0000, 0.0000, 0.0000)  4 Hf 2.80, 2 Ga 2.88
Ag (0.7500, 0.2500, 0.5000)  4 Hf 2.80, 2 Ga 2.88

Results
Final energy (eV/atom): -6.229
Spin magnetization (μB per formula unit): 0.000
Formation enthalpy at 0 K (eV/atom): 0.22
Space group: No. 122

Density functional theory data (PBE) for a geometry-optimized CeNd2Rh structure.

Cell lengths 3.5794, 3.5794, 8.6600 Å; angles 90.00, 90.00, 90.00 degrees
Last column: nearest neighbours and their distance in Å.
Atoms (fractional coordinates):
Nd (0.0000, 0.0000, 0.1958)  4 Rh 3.05, 1 Nd 3.39
Nd (0.0000, 0.0000, 0.8042)  4 Rh 3.05, 1 Nd 3.39
Ce (0.5000, 0.5000, 0.5000)  4 Ce 3.58, 8 Nd 3.65
Rh (0.5000, 0.5000, 0.0000)  8 Nd 3.05

Results
Final energy (eV/atom): -5.935
Spin magnetization (μB per formula unit): 1.385
Formation enthalpy at 0 K (eV/atom): -0.23
Space group: No. 123